(1)
DFT (PBE) results for an optimized crystal structure of Li3HoBi2.

Output
The formation energy comes out at -546 meV per atom. As for the space-group type: C2/m, No. 12. Its spin magnetization is 0.00 μB per formula unit.

Cell: 9.1814 9.1814 10.9666 Å, 101.04 101.04 27.63°
Element x y z (fractional)
Li  0.0000  0.0000  0.0000
Li  0.1199  0.1199  0.7305
Li  0.1831  0.1831  0.4877
Li  0.2920  0.2920  0.0934
Li  0.4537  0.4537  0.1587
Li  0.5463  0.5463  0.8413
Li  0.7080  0.7080  0.9066
Li  0.8169  0.8169  0.5123
Li  0.8801  0.8801  0.2695
Ho  0.3305  0.3305  0.7773
Ho  0.5000  0.5000  0.5000
Ho  0.6695  0.6695  0.2227
Bi  0.0466  0.0466  0.3090
Bi  0.1429  0.1429  0.0008
Bi  0.3066  0.3066  0.3527
Bi  0.6934  0.6934  0.6473
Bi  0.8571  0.8571  0.9992
Bi  0.9534  0.9534  0.6910

---

(2)
DFT (PBE) results for an optimized crystal structure of Li2HoBiO4.

Output
The uncorrected formation energy comes out at -16.7 eV per formula unit. As for the space-group type: C2/c, No. 15. Its spin magnetization is 0.00 μB per formula unit.

Cell: 6.7185 6.7185 6.5627 Å, 116.00 116.00 97.89°
Element x y z (fractional)
Li  0.0000  0.0000  0.0000
Li  0.0000  0.0000  0.5000
Li  0.0000  0.5000  0.0000
Li  0.5000  0.0000  0.5000
Ho  0.0000  0.5000  0.5000
Ho  0.5000  0.0000  0.0000
Bi  0.5000  0.5000  0.0000
Bi  0.5000  0.5000  0.5000
O  0.2127  0.2607  0.5083
O  0.2397  0.7148  0.9691
O  0.2607  0.2127  0.0083
O  0.2852  0.7603  0.5309
O  0.7148  0.2397  0.4691
O  0.7393  0.7873  0.9917
O  0.7603  0.2852  0.0309
O  0.7873  0.7393  0.4917

---

(3)
DFT (PBE) results for an optimized crystal structure of LiHoBiO4.

Output
The uncorrected formation energy comes out at -14.3 eV per formula unit. As for the space-group type: Imma, No. 74. Its spin magnetization is 0.00 μB per formula unit.

Cell: 6.7438 6.7438 6.7438 Å, 119.76 119.47 90.67°
Element x y z (fractional)
Li  0.3591  0.1091  0.2500
Li  0.6409  0.8909  0.7500
Ho  0.0000  0.5000  0.5000
Ho  0.5000  0.5000  0.0000
Bi  0.0000  0.0000  0.5000
Bi  0.0000  0.5000  0.0000
O  0.2196  0.7420  0.4776
O  0.2356  0.2580  0.9776
O  0.2383  0.2644  0.5260
O  0.2383  0.7123  0.9740
O  0.7617  0.2877  0.0260
O  0.7617  0.7356  0.4740
O  0.7644  0.7420  0.0224
O  0.7804  0.2580  0.5224